Entry 1:
## HCl6F2 (GGA-PBE)

Data for crystalline HCl6F2 at its relaxed geometry.

Calculated values
Space group   No. 1
Density of states at the Fermi level   3.89 states/eV per cell

Cell: 5.992 6.916 6.933 Å, 75.42 69.95 78.21°
Fractional coordinates of all 9 atoms:
1 H 0.000 0.000 0.000
2 Cl 0.281 0.301 0.460
3 Cl 0.303 0.826 0.073
4 Cl 0.576 0.646 0.657
5 Cl 0.650 0.835 0.804
6 Cl 0.795 0.111 0.987
7 Cl 0.997 0.341 0.354
8 F 0.620 0.366 0.428
9 F 0.945 0.858 0.606

---

Entry 2:
## Cs2TlOsBr6 (GGA-PBE)

Data for crystalline Cs2TlOsBr6 at its relaxed geometry.

Calculated values
Space group   No. 225
Density of states at the Fermi level   11.44 states/eV per cell

Cell: 8.060 8.060 8.060 Å, 60.00 60.00 60.00°
Fractional coordinates of all 10 atoms:
1 Cs 0.250 0.250 0.250
2 Cs 0.750 0.750 0.750
3 Tl 0.000 0.000 0.000
4 Os 0.500 0.500 0.500
5 Br 0.278 0.278 0.722
6 Br 0.278 0.722 0.278
7 Br 0.278 0.722 0.722
8 Br 0.722 0.278 0.278
9 Br 0.722 0.278 0.722
10 Br 0.722 0.722 0.278

---

Entry 3:
## BeTlRuSe2 (GGA-PBE)

Data for crystalline BeTlRuSe2 at its relaxed geometry.

Calculated values
Space group   No. 123
Density of states at the Fermi level   4.81 states/eV per cell

Cell: 4.998 4.998 4.330 Å, 90.00 90.00 90.00°
Fractional coordinates of all 5 atoms:
1 Be 0.000 0.000 0.000
2 Tl 0.500 0.500 0.000
3 Ru 0.000 0.000 0.500
4 Se 0.000 0.500 0.500
5 Se 0.500 0.000 0.500

---

Entry 4:
## SmHg2IO6 (GGA-PBE)

Data for crystalline SmHg2IO6 at its relaxed geometry.

Calculated values
Space group   No. 146

Cell: 6.138 6.138 6.138 Å, 57.40 57.40 57.40°
Fractional coordinates of all 10 atoms:
1 Sm 0.000 0.000 0.000
2 Hg 0.249 0.249 0.249
3 Hg 0.781 0.781 0.781
4 I 0.494 0.494 0.494
5 O 0.156 0.708 0.387
6 O 0.225 0.620 0.867
7 O 0.387 0.156 0.708
8 O 0.620 0.867 0.225
9 O 0.708 0.387 0.156
10 O 0.867 0.225 0.620

---

Entry 5:
## Tb2PrTc (GGA-PBE)

Data for crystalline Tb2PrTc at its relaxed geometry.

Calculated values
Energy above the lowest structure with this stoichiometry   301 meV per atom
Space group   No. 166
Density of states at the Fermi level   5.50 states/eV per cell

Cell: 11.251 11.251 11.251 Å, 17.71 17.71 17.71°
Fractional coordinates of all 4 atoms:
1 Tb 0.106 0.106 0.106
2 Tb 0.894 0.894 0.894
3 Pr 0.000 0.000 0.000
4 Tc 0.500 0.500 0.500

---

Entry 6:
## Cd3Pt30O40 (GGA-PBE)

Data for crystalline Cd3Pt30O40 at its relaxed geometry.

Calculated values
Space group   No. 10
Density of states at the Fermi level   46.38 states/eV per cell

Cell: 8.092 5.759 20.599 Å, 90.00 101.02 90.00°
Fractional coordinates of all 73 atoms:
1 Cd 0.000 0.000 0.000
2 Cd 0.199 0.000 0.398
3 Cd 0.801 0.000 0.602
4 Pt 0.000 0.257 0.500
5 Pt 0.000 0.743 0.500
6 Pt 0.004 0.000 0.753
7 Pt 0.045 0.500 0.347
8 Pt 0.155 0.500 0.052
9 Pt 0.202 0.000 0.151
10 Pt 0.203 0.253 0.899
11 Pt 0.203 0.747 0.899
12 Pt 0.206 0.000 0.652
13 Pt 0.249 0.500 0.750
14 Pt 0.356 0.500 0.450
15 Pt 0.397 0.000 0.552
16 Pt 0.402 0.253 0.297
17 Pt 0.402 0.747 0.297
18 Pt 0.405 0.000 0.051
19 Pt 0.449 0.500 0.149
20 Pt 0.551 0.500 0.851
21 Pt 0.595 0.000 0.949
22 Pt 0.598 0.253 0.703
23 Pt 0.598 0.747 0.703
24 Pt 0.603 0.000 0.448
25 Pt 0.644 0.500 0.550
26 Pt 0.751 0.500 0.250
27 Pt 0.794 0.000 0.348
28 Pt 0.797 0.253 0.101
29 Pt 0.797 0.747 0.101
30 Pt 0.798 0.000 0.849
31 Pt 0.845 0.500 0.948
32 Pt 0.955 0.500 0.653
33 Pt 0.996 0.000 0.247
34 O 0.044 0.241 0.601
35 O 0.044 0.759 0.601
36 O 0.048 0.241 0.097
37 O 0.048 0.759 0.097
38 O 0.151 0.241 0.301
39 O 0.151 0.253 0.800
40 O 0.151 0.747 0.800
41 O 0.151 0.759 0.301
42 O 0.244 0.240 0.000
43 O 0.244 0.760 0.000
44 O 0.249 0.240 0.496
45 O 0.249 0.760 0.496
46 O 0.350 0.252 0.199
47 O 0.350 0.253 0.701
48 O 0.350 0.747 0.701
49 O 0.350 0.748 0.199
50 O 0.442 0.241 0.398
51 O 0.442 0.759 0.398
52 O 0.450 0.253 0.901
53 O 0.450 0.747 0.901
54 O 0.550 0.253 0.099
55 O 0.550 0.747 0.099
56 O 0.558 0.241 0.602
57 O 0.558 0.759 0.602
58 O 0.650 0.252 0.801
59 O 0.650 0.253 0.299
60 O 0.650 0.747 0.299
61 O 0.650 0.748 0.801
62 O 0.751 0.240 0.504
63 O 0.751 0.760 0.504
64 O 0.756 0.240 0.000
65 O 0.756 0.760 0.000
66 O 0.849 0.241 0.699
67 O 0.849 0.253 0.200
68 O 0.849 0.747 0.200
69 O 0.849 0.759 0.699
70 O 0.952 0.241 0.903
71 O 0.952 0.759 0.903
72 O 0.956 0.241 0.399
73 O 0.956 0.759 0.399

---

Entry 7:
## TeHPd2Pb (GGA-PBE)

Data for crystalline TeHPd2Pb at its relaxed geometry.

Calculated values
Space group   No. 123
Density of states at the Fermi level   2.02 states/eV per cell

Cell: 4.449 4.449 4.480 Å, 90.00 90.00 90.00°
Fractional coordinates of all 5 atoms:
1 Te 0.000 0.000 0.000
2 H 0.000 0.000 0.500
3 Pd 0.000 0.500 0.500
4 Pd 0.500 0.000 0.500
5 Pb 0.500 0.500 0.000

---

Entry 8:
## ReTe3Br (GGA-PBE)

Data for crystalline ReTe3Br at its relaxed geometry.

Calculated values
Energy above the lowest structure with this stoichiometry   0 meV per atom
Space group   No. 2
Density of states at the Fermi level   1.05 states/eV per cell

Cell: 3.900 8.599 9.614 Å, 68.04 78.30 83.72°
Fractional coordinates of all 10 atoms:
1 Re 0.164 0.494 0.109
2 Re 0.836 0.506 0.891
3 Te 0.219 0.595 0.352
4 Te 0.328 0.261 0.989
5 Te 0.390 0.697 0.686
6 Te 0.610 0.303 0.314
7 Te 0.672 0.739 0.011
8 Te 0.781 0.405 0.648
9 Br 0.186 0.017 0.733
10 Br 0.814 0.983 0.267

---

Entry 9:
## ZrBePb2 (GGA-PBE)

Data for crystalline ZrBePb2 at its relaxed geometry.

Calculated values
Space group   No. 123
Density of states at the Fermi level   3.52 states/eV per cell

Cell: 3.262 3.262 8.560 Å, 90.00 90.00 90.00°
Fractional coordinates of all 4 atoms:
1 Zr 0.000 0.000 0.000
2 Be 0.000 0.000 0.500
3 Pb 0.500 0.500 0.280
4 Pb 0.500 0.500 0.720

---

Entry 10:
## PuSnPtO6 (GGA-PBE)

Data for crystalline PuSnPtO6 at its relaxed geometry.

Calculated values
Space group   No. 163
Density of states at the Fermi level   18.09 states/eV per cell

Cell: 5.344 5.344 9.372 Å, 90.00 90.00 120.00°
Fractional coordinates of all 18 atoms:
1 Pu 0.333 0.667 0.250
2 Pu 0.667 0.333 0.750
3 Sn 0.000 0.000 0.000
4 Sn 0.000 0.000 0.500
5 Pt 0.333 0.667 0.750
6 Pt 0.667 0.333 0.250
7 O 0.016 0.341 0.625
8 O 0.016 0.675 0.875
9 O 0.325 0.341 0.875
10 O 0.325 0.984 0.625
11 O 0.341 0.016 0.125
12 O 0.341 0.325 0.375
13 O 0.659 0.675 0.625
14 O 0.659 0.984 0.875
15 O 0.675 0.016 0.375
16 O 0.675 0.659 0.125
17 O 0.984 0.325 0.125
18 O 0.984 0.659 0.375

---

Entry 11:
## AlGeAu3 (GGA-PBE)

Data for crystalline AlGeAu3 at its relaxed geometry.

Calculated values
Energy above the lowest structure with this stoichiometry   0 meV per atom
Space group   No. 69
Density of states at the Fermi level   3.87 states/eV per cell

Cell: 10.259 8.459 6.540 Å, 85.29 55.27 39.45°
Fractional coordinates of all 10 atoms:
1 Al 0.167 0.833 0.167
2 Al 0.833 0.167 0.833
3 Ge 0.296 0.296 0.704
4 Ge 0.704 0.704 0.296
5 Au 0.093 0.093 0.907
6 Au 0.229 0.563 0.437
7 Au 0.437 0.771 0.229
8 Au 0.563 0.229 0.771
9 Au 0.771 0.437 0.563
10 Au 0.907 0.907 0.093

---

Entry 12:
## Mo2SeBr2 (GGA-PBE)

Data for crystalline Mo2SeBr2 at its relaxed geometry.

Calculated values
Energy above the lowest structure with this stoichiometry   0 meV per atom
Space group   No. 139
Density of states at the Fermi level   3.84 states/eV per cell

Cell: 6.339 6.339 6.339 Å, 140.14 140.14 57.64°
Fractional coordinates of all 5 atoms:
1 Mo 0.250 0.750 0.500
2 Mo 0.750 0.250 0.500
3 Se 0.000 0.000 0.000
4 Br 0.368 0.368 0.000
5 Br 0.632 0.632 0.000

---

In order of appearance, total moment = 0.00; 1.00; 0.18; 0.00; 0.00; 0.00; 0.00; 0.00; 0.00; 3.95; 0.00; 0.00 μB/f.u..
In order of appearance, energy = -19.706; -34.164; -21.196; -46.854; -23.354; -417.060; -20.032; -47.630; -17.803; -137.028; -37.126; -24.796 eV/cell.